# SrCoIO2

A relaxed structure of SrCoIO2 (PBE with a Hubbard U, the Alexandria database).

## Properties
Spin magnetization: 2.9 μB per cell
DOS at the Fermi energy: 4.40 states/eV per cell
Space group: P4/mmm (123)
Total energy: -4.41 eV/atom

a = 4.2969 Å, b = 4.2969 Å, c = 5.0664 Å
α = 90.00°, β = 90.00°, γ = 90.00°
Element x y z (fractional)
Sr 0.0000 0.0000 0.0000
Co 0.5000 0.5000 0.5000
I 0.5000 0.5000 0.0000
O 0.0000 0.5000 0.5000
O 0.5000 0.0000 0.5000